1.
DFT (GGA-PBEsol) results for a geometry-optimized MgSiHg structure.

abc: 4.3485 4.3485 3.6752
angles: 90.00 90.00 120.00
Space group P3m1 (No. 156)
Inequivalent atoms, fractional coordinates:
1 Mg 0.0000 0.0000 0.0000 x1
2 Si 0.3333 0.6667 0.5750 x1
3 Hg 0.6667 0.3333 0.4146 x1

Computed properties:
The spin magnetization is 0.00 μB per atom. Its uncorrected formation energy is 0.11 eV/atom. The calculation puts the raw total energy at -7.71 eV/cell.

***

2.
DFT (GGA-PBEsol) results for a geometry-optimized OsRuRh2 structure.

abc: 3.758 3.758 7.657
angles: 90.00 90.00 90.00
Space group I4/mmm (No. 139)
Inequivalent atoms, fractional coordinates:
1 Os 0.000 0.000 0.000 x2
2 Ru 0.000 0.000 0.500 x2
3 Rh 0.000 0.500 0.250 x4

Computed properties:
The spin magnetization is 0.00 μB per atom. For the energy above the most stable polymorph in this dataset, the calculation gives 0.0409 eV/atom. For the energy of formation from the pure elements, the calculation gives 0.299 eV per formula unit. The calculation puts the raw total energy at -76.73 eV/cell.

***

3.
DFT (GGA-PBEsol) results for a geometry-optimized NbAl2CrSb structure.

abc: 5.066 5.066 5.108
angles: 90.00 90.00 90.00
Space group P4/mmm (No. 123)
Inequivalent atoms, fractional coordinates:
1 Nb 0.000 0.000 0.000 x1
2 Al 0.000 0.500 0.500 x2
3 Cr 0.500 0.500 0.000 x1
4 Sb 0.000 0.000 0.500 x1

Computed properties:
The spin magnetization is 0.75 μB per atom. Its uncorrected formation energy is 1.61 eV/atom. The calculation puts the raw total energy at -25.73 eV/cell.

***

4.
DFT (GGA-PBEsol) results for a geometry-optimized AlAg3Sb structure.

abc: 4.785 4.785 4.785
angles: 90.00 90.00 90.00
Space group Pm-3m (No. 221)
Inequivalent atoms, fractional coordinates:
1 Al 0.000 0.000 0.000 x1
2 Ag 0.000 0.000 0.500 x3
3 Sb 0.500 0.500 0.500 x1

Computed properties:
The spin magnetization is 0.00 μB per atom. Its uncorrected formation energy is 0.54 eV/atom. The calculation puts the raw total energy at -15.89 eV/cell.

***

5.
DFT (GGA-PBEsol) results for a geometry-optimized ScTiAg2Sb structure.

abc: 4.891 4.891 4.810
angles: 90.00 90.00 90.00
Space group P4/mmm (No. 123)
Inequivalent atoms, fractional coordinates:
1 Sc 0.000 0.000 0.000 x1
2 Ti 0.000 0.000 0.500 x1
3 Ag 0.000 0.500 0.500 x2
4 Sb 0.500 0.500 0.000 x1

Computed properties:
The spin magnetization is 0.09 μB per atom. Its uncorrected formation energy is 0.81 eV/atom. The calculation puts the raw total energy at -22.06 eV/cell.

***

6.
DFT (GGA-PBEsol) results for a geometry-optimized LaGe2Ir3 structure.

abc: 5.6221 5.6221 3.8187
angles: 90.00 90.00 120.00
Space group P6/mmm (No. 191)
Inequivalent atoms, fractional coordinates:
1 La 0.0000 0.0000 0.0000 x1
2 Ge 0.3333 0.6667 0.0000 x2
3 Ir 0.0000 0.5000 0.5000 x3

Computed properties:
The spin magnetization is 0.00 μB per atom. For the energy of formation from the pure elements, the calculation gives -4.016 eV per formula unit. The calculation puts the raw total energy at -48.71 eV/cell.

***

7.
DFT (GGA-PBEsol) results for a geometry-optimized Zr2TlCd structure.

abc: 4.355 4.362 9.349
angles: 90.00 90.00 90.00
Space group Cmm2 (No. 35)
Inequivalent atoms, fractional coordinates:
1 Zr 0.000 0.000 0.000 x2
2 Zr 0.000 0.500 0.238 x2
3 Tl 0.000 0.000 0.499 x2
4 Cd 0.000 0.500 0.754 x2

Computed properties:
The spin magnetization is 0.00 μB per atom. For the energy of formation from the pure elements, the calculation gives -0.264 eV per formula unit. The calculation puts the raw total energy at -44.54 eV/cell.

***

8.
DFT (GGA-PBEsol) results for a geometry-optimized LaGaAs3 structure.

abc: 5.550 5.550 5.550
angles: 90.00 90.00 90.00
Space group Pm-3m (No. 221)
Inequivalent atoms, fractional coordinates:
1 La 0.000 0.000 0.000 x1
2 Ga 0.500 0.500 0.500 x1
3 As 0.000 0.000 0.500 x3

Computed properties:
The spin magnetization is 0.00 μB per atom. For the energy of formation from the pure elements, the calculation gives 3.226 eV per formula unit. The calculation puts the raw total energy at -20.78 eV/cell.